Below is crystalline WF at its relaxed geometry, with properties calculated at the GGA+U level.

For the final energy, the calculation gives -5.255 eV/atom. The calculation puts the spin magnetization at 0.75 μB per atom. The value obtained for the excess energy over the best structure of this formula in the dataset is 191 meV/atom.

The space group is Pmn2_1 (No. 31) and the conventional cell measures 8.964, 3.230 and 7.781 Å, with angles of 90.00, 90.00 and 90.00 degrees. The asymmetric unit holds W at (0.000, 0.054, 0.000), W at (0.241, 0.537, 0.114), F at (0.000, 0.248, 0.736) and F at (0.155, 0.507, 0.370).